CoGeMoO6 | PBE with a Hubbard U | relaxed

a b c (Å): 4.5137 4.5137 8.9971
angles (deg): 90.00 90.00 90.00
Space group P4_2nm (No. 102)
Asymmetric unit:
Co  0.0000  0.0000  0.0000
Ge  0.0000  0.0000  0.6670
Mo  0.0000  0.0000  0.3334
O  0.1896  0.1896  0.8322
O  0.1969  0.1969  0.5052
O  0.1980  0.1980  0.1629

Output
- mass density (g/cm³) = 5.86
- DFT total energy (eV for the cell shown) = -118.46